[1]
{
  "formula": "Sc2GaSi",
  "functional": "PBE",
  "state": "optimized geometry",
  "lattice_angstrom": [[7.326, 0.000, 0.000], [0.000, 7.326, 0.000], [3.663, 3.663, 3.034]],
  "species": ["Sc", "Sc", "Sc", "Sc", "Si", "Si", "Ga", "Ga"],
  "frac_coords": [[0.875, 0.866, 0.750], [0.375, 0.384, 0.750], [0.616, 0.125, 0.250], [0.134, 0.625, 0.250], [0.500, 0.500, 0.000], [0.250, 0.750, 0.500], [0.000, 0.000, 0.000], [0.750, 0.250, 0.500]],
  "formation_energy_uncorrected_ev_per_fu": -1.00,
  "energy_ev_per_cell": -44.2
}

---

[2]
{
  "formula": "ScGa2Si2",
  "functional": "PBE",
  "state": "optimized geometry",
  "lattice_angstrom": [[-4.996, -3.784, 3.089], [3.619, 0.100, 5.976], [-1.684, 3.016, 0.970]],
  "species": ["Ga", "Ga", "Ga", "Ga", "Si", "Si", "Si", "Si", "Sc", "Sc"],
  "frac_coords": [[0.670, 0.830, 0.500], [0.830, 0.330, 0.500], [0.330, 0.170, 0.500], [0.170, 0.670, 0.500], [0.124, 0.376, 0.000], [0.624, 0.124, 0.000], [0.376, 0.876, 0.000], [0.876, 0.624, 0.000], [0.500, 0.500, 0.000], [0.000, 0.000, 0.000]],
  "e_above_lowest_polymorph_ev_per_atom": 0.000,
  "formation_energy_uncorrected_ev_per_fu": -0.63,
  "energy_ev_per_cell": -47.7
}

---

[3]
{
  "formula": "Sc2GaSi",
  "functional": "PBE",
  "state": "optimized geometry",
  "lattice_angstrom": [[3.779, 0.000, 0.000], [0.000, 5.425, -0.113], [0.000, -2.855, 7.537]],
  "species": ["Sc", "Sc", "Sc", "Sc", "Si", "Si", "Ga", "Ga"],
  "frac_coords": [[0.250, 0.782, 0.066], [0.750, 0.227, 0.426], [0.250, 0.773, 0.574], [0.750, 0.218, 0.934], [0.750, 0.658, 0.791], [0.250, 0.342, 0.209], [0.750, 0.668, 0.292], [0.250, 0.332, 0.708]],
  "formation_energy_uncorrected_ev_per_fu": -2.92,
  "energy_ev_per_cell": -48.1
}

---

[4]
{
  "formula": "ScGaSi",
  "functional": "PBE",
  "state": "optimized geometry",
  "lattice_angstrom": [[-0.339, 3.066, 2.512], [-4.686, -4.460, 4.812], [5.207, -2.034, 3.185]],
  "species": ["Sc", "Sc", "Sc", "Sc", "Ga", "Ga", "Ga", "Ga", "Si", "Si", "Si", "Si"],
  "frac_coords": [[0.750, 0.680, 0.461], [0.250, 0.320, 0.461], [0.250, 0.180, 0.961], [0.750, 0.820, 0.961], [0.750, 0.403, 0.769], [0.250, 0.597, 0.769], [0.750, 0.097, 0.269], [0.250, 0.903, 0.269], [0.750, 0.399, 0.169], [0.250, 0.899, 0.669], [0.250, 0.601, 0.169], [0.750, 0.101, 0.669]],
  "formation_energy_uncorrected_ev_per_fu": -1.55,
  "energy_ev_per_cell": -65.3
}